[1]
LuVTc2 | PBE-GGA | relaxed

Values from the calculation:
Magnetic moment   0.0 μB per cell
Offset from the most stable computed form   0.37 eV/f.u.

Unit cell a=4.4965 b=4.4965 c=4.4965 alpha=60.00 beta=60.00 gamma=60.00
Element x y z (fractional)
Lu: 0.0000 0.0000 0.0000
V: 0.5000 0.5000 0.5000
Tc: 0.2500 0.2500 0.2500
Tc: 0.7500 0.7500 0.7500

[2]
LuVTc2 | PBE-GGA | relaxed

Values from the calculation:
Magnetic moment   0.0 μB per cell
Offset from the most stable computed form   0.58 eV/f.u.

Unit cell a=4.5143 b=4.5143 c=3.1787 alpha=90.00 beta=90.00 gamma=90.00
Element x y z (fractional)
Lu: 0.0000 0.0000 0.0000
V: 0.5000 0.5000 0.0000
Tc: 0.0000 0.5000 0.5000
Tc: 0.5000 0.0000 0.5000

Computed values of Fermi-level density of states (unit: states/eV/f.u.) for the preceding records, in sequence: 5.3; 3.4.
Computed values of E_tot (unit: eV/atom) for the preceding records, in sequence: -8.633; -8.580.
Computed values of energy relative to the elements (unit: eV/atom) for the preceding records, in sequence: -0.04; 0.01.